Density functional theory data (PBE) for HfTi2Ag2 after structural relaxation.

Lattice parameters (Å, degrees): 3.691 3.691 13.965 90.00 90.00 90.00
Space group I4/mmm (No. 139)
Symmetry-distinct sites (fractional):
Hf1 0.000 0.000 0.000 (multiplicity 2)
Ti1 0.000 0.500 0.250 (multiplicity 4)
Ag1 0.000 0.000 0.403 (multiplicity 4)

DFT formation energy ... 0.335 eV/atom
Polymorph energy (0 for the lowest one) ... 129 meV per atom
Uncorrected energy ... -5.954 eV per atom